Here is a relaxed Pr6Tm2Sc crystal from Alexandria via LeMat-Bulk. Energies are from PBE-GGA.

Cell lengths 5.1268, 6.2284, 10.8716 Å; angles 106.09, 90.00, 114.30 degrees
Fractional coordinates of all 9 atoms:
Pr 0.3311 0.6622 0.6069
Pr 0.0038 0.0076 0.1755
Pr 0.9962 0.9924 0.8245
Pr 0.6670 0.3340 0.0540
Pr 0.3330 0.6660 0.9460
Pr 0.6689 0.3378 0.3931
Tm 0.6618 0.3236 0.7165
Tm 0.3382 0.6764 0.2835
Sc 0.0000 0.0000 0.5000

M_tot in Bohr magnetons per cell: 0.00
Mass density in g/cm³: 6.77
Calculated formation energy in eV/atom: 0.037
ΔE to the lowest computed polymorph in eV/f.u.: 0.00
Symmetry: C2/m

***

Here is a relaxed CaZn6Ga6 crystal from Alexandria via LeMat-Bulk. Energies are from PBE-GGA.

Cell lengths 5.3017, 7.0806, 7.0806 Å; angles 80.95, 68.01, 68.01 degrees
Fractional coordinates of all 13 atoms:
Ga 0.3491 0.6509 0.6509
Ga 0.6509 0.3491 0.3491
Ga 0.3079 0.1921 0.1921
Ga 0.0000 0.3529 0.6471
Ga 0.6921 0.8079 0.8079
Ga 0.0000 0.6471 0.3529
Zn 0.5000 0.2262 0.7738
Zn 0.5000 0.5000 0.0000
Zn 0.5000 0.0000 0.5000
Zn 0.0000 0.0000 0.5000
Zn 0.0000 0.5000 0.0000
Zn 0.5000 0.7738 0.2262
Ca 0.0000 0.0000 0.0000

M_tot in Bohr magnetons per cell: 0.00
Mass density in g/cm³: 6.18
Calculated formation energy in eV/atom: -0.104
Symmetry: Immm

***

Here is a relaxed ZnSbO3 crystal from Alexandria via LeMat-Bulk. Energies are from PBE-GGA.

Cell lengths 3.8406, 3.8406, 3.8406 Å; angles 90.00, 90.00, 90.00 degrees
Fractional coordinates of all 5 atoms:
Zn 0.0000 0.0000 0.0000
O 0.0000 0.5000 0.0000
O 0.0000 0.0000 0.5000
O 0.5000 0.0000 0.0000
Sb 0.5000 0.5000 0.5000

M_tot in Bohr magnetons per cell: 0.00
Mass density in g/cm³: 6.89
Formation energy from raw total energies in eV/atom: -0.593
Symmetry: Pm-3m

***

Here is a relaxed SrThCl6 crystal from Alexandria via LeMat-Bulk. Energies are from PBE-GGA.

Cell lengths 7.1110, 7.1110, 7.0572 Å; angles 97.28, 97.28, 120.04 degrees
Fractional coordinates of all 8 atoms:
Cl 0.2540 0.2540 0.7335
Cl 0.7460 0.7460 0.2665
Cl 0.1252 0.4186 0.2630
Cl 0.4186 0.1252 0.2630
Cl 0.5814 0.8748 0.7370
Cl 0.8748 0.5814 0.7370
Sr 0.0000 0.0000 0.0000
Th 0.5000 0.5000 0.5000

M_tot in Bohr magnetons per cell: 0.00
Mass density in g/cm³: 2.96
Formation energy from raw total energies in eV/atom: -2.265
ΔE to the lowest computed polymorph in eV/f.u.: 0.06
Symmetry: C2/m

***

Here is a relaxed La4HgRu2 crystal from Alexandria via LeMat-Bulk. Energies are from PBE-GGA.

Cell lengths 4.2329, 7.1836, 14.1532 Å; angles 90.00, 90.00, 107.14 degrees
Fractional coordinates of all 14 atoms:
Ru 0.1238 0.2476 0.0679
Ru 0.8762 0.7524 0.5679
Ru 0.1238 0.2476 0.4321
Ru 0.8762 0.7524 0.9321
La 0.2333 0.4666 0.8922
La 0.5000 0.0000 0.5000
La 0.2333 0.4666 0.6078
La 0.7667 0.5334 0.3922
La 0.5000 0.0000 0.0000
La 0.0773 0.1547 0.2500
La 0.9227 0.8453 0.7500
La 0.7667 0.5334 0.1078
Hg 0.6108 0.2216 0.7500
Hg 0.3892 0.7784 0.2500

M_tot in Bohr magnetons per cell: 0.00
Mass density in g/cm³: 7.74
Calculated formation energy in eV/atom: -0.327
Symmetry: Cmcm

***

Here is a relaxed Pu2Zn4Ga3Cu crystal from Alexandria via LeMat-Bulk. Energies are from PBE-GGA.

Cell lengths 4.1948, 4.1948, 10.5499 Å; angles 90.00, 90.00, 90.00 degrees
Last column: magnetic moment on the atom in μB.
Fractional coordinates of all 10 atoms:
Ga 0.0000 0.0000 0.5000  -0.04
Ga 0.0000 0.5000 0.1401  -0.03
Ga 0.5000 0.0000 0.8599  -0.03
Pu 0.5000 0.0000 0.2562  5.29
Pu 0.0000 0.5000 0.7438  5.29
Zn 0.5000 0.0000 0.6287  0.00
Zn 0.0000 0.0000 0.0000  -0.02
Zn 0.5000 0.5000 0.0000  -0.01
Zn 0.0000 0.5000 0.3713  0.00
Cu 0.5000 0.5000 0.5000  0.00

M_tot in Bohr magnetons per cell: 11.07
Mass density in g/cm³: 9.14
Calculated formation energy in eV/atom: -0.191
Symmetry: P-4m2